Record 1
Density functional theory data (GGA-PBEsol) for an optimized crystal structure of NiBiAsO5.

a = 5.196 Å, b = 6.691 Å, c = 6.804 Å
α = 111.63°, β = 106.88°, γ = 95.64°
Sites, in units of the cell vectors:
Ni  0.833  0.364  0.743
Ni  0.167  0.636  0.257
Bi  0.407  0.230  0.966
Bi  0.593  0.770  0.034
As  0.842  0.812  0.610
As  0.158  0.188  0.390
O  0.774  0.498  0.049
O  0.226  0.502  0.951
O  0.270  0.356  0.276
O  0.730  0.644  0.724
O  0.576  0.775  0.371
O  0.424  0.225  0.629
O  0.086  0.914  0.195
O  0.914  0.086  0.805
O  0.858  0.234  0.431
O  0.142  0.766  0.569

Properties
- Crystal system: triclinic
- Total magnetic moment: 3.90 μB per cell
- Formation energy (no corrections): -107.0 kJ per mole of atoms
- Space-group type: P-1

---

Record 2
Density functional theory data (GGA-PBEsol) for an optimized crystal structure of Ni18Bi3AsS16.

a = 8.909 Å, b = 8.909 Å, c = 8.909 Å
α = 107.07°, β = 110.69°, γ = 110.69°
Sites, in units of the cell vectors:
Ni  0.286  0.521  0.521
Ni  0.000  0.521  0.235
Ni  0.500  0.000  0.500
Ni  0.000  0.953  0.299
Ni  0.000  0.701  0.047
Ni  0.654  0.701  0.701
Ni  0.000  0.765  0.479
Ni  0.346  0.299  0.299
Ni  0.286  0.765  0.765
Ni  0.654  0.953  0.953
Ni  0.000  0.299  0.953
Ni  0.714  0.235  0.235
Ni  0.714  0.479  0.479
Ni  0.000  0.235  0.521
Ni  0.346  0.047  0.047
Ni  0.500  0.500  0.000
Ni  0.000  0.479  0.765
Ni  0.000  0.047  0.701
Bi  0.500  0.750  0.250
Bi  0.500  0.250  0.750
Bi  0.000  0.000  0.000
As  0.000  0.500  0.500
S  0.228  0.761  0.988
S  0.772  0.012  0.239
S  0.486  0.836  0.651
S  0.514  0.164  0.349
S  0.815  0.651  0.164
S  0.815  0.164  0.651
S  0.514  0.349  0.164
S  0.185  0.836  0.349
S  0.228  0.239  0.467
S  0.486  0.651  0.836
S  0.228  0.467  0.239
S  0.772  0.239  0.012
S  0.185  0.349  0.836
S  0.772  0.533  0.761
S  0.772  0.761  0.533
S  0.228  0.988  0.761

Properties
- Crystal system: tetragonal
- Total magnetic moment: 0.00 μB per cell
- Formation energy (no corrections): -42.4 kJ per mole of atoms
- Space-group type: I4/mmm